1.
VASP calculation (PBE) on RbAlMo3 after structural relaxation.

The structure belongs to space group Pm-3m (No. 221); the cell edges are 4.876, 4.876 and 4.876 Å and the angles 90.00°, 90.00° and 90.00°. The inequivalent atoms are Rb at (0.000, 0.000, 0.000), Al at (0.500, 0.500, 0.500) and Mo at (0.000, 0.500, 0.500).

For the total energy, the calculation gives -5.402 eV/atom. Its energy relative to the lowest polymorph listed for this composition is 0.000 eV/f.u. The calculation puts the formation energy at 2.039 eV/atom. Its density of states at the Fermi level is 2.41 states/eV/atom. As for the crystal system: cubic.

=====

2.
VASP calculation (PBE) on RbAlMo3 after structural relaxation.

The structure belongs to space group Pm-3m (No. 221); the cell edges are 4.680, 4.680 and 4.680 Å and the angles 90.00°, 90.00° and 90.00°. The inequivalent atoms are Rb at (0.000, 0.000, 0.000), Al at (0.500, 0.500, 0.500) and Mo at (0.000, 0.000, 0.500).

For the total energy, the calculation gives -4.298 eV/atom. Its energy relative to the lowest polymorph listed for this composition is 5.520 eV/f.u. The calculation puts the formation energy at 3.143 eV/atom. Its density of states at the Fermi level is 1.42 states/eV/atom. As for the crystal system: cubic.

=====

3.
VASP calculation (PBE) on RbAlMo2 after structural relaxation.

The structure belongs to space group I-42d (No. 122); the cell edges are 4.357, 4.357 and 19.434 Å and the angles 90.00°, 90.00° and 90.00°. The inequivalent atoms are Rb at (0.000, 0.000, 0.000), Al at (0.000, 0.000, 0.500) and Mo at (0.154, 0.250, 0.625).

For the total energy, the calculation gives -5.103 eV/atom. The calculation puts the formation energy at 1.490 eV/atom. Its density of states at the Fermi level is 0.97 states/eV/atom. As for the crystal system: tetragonal.

=====

4.
VASP calculation (PBE) on RbAl3Mo after structural relaxation.

The structure belongs to space group Pm-3m (No. 221); the cell edges are 5.046, 5.046 and 5.046 Å and the angles 90.00°, 90.00° and 90.00°. The inequivalent atoms are Rb at (0.000, 0.000, 0.000), Al at (0.000, 0.500, 0.500) and Mo at (0.500, 0.500, 0.500).

For the total energy, the calculation gives -4.298 eV/atom. Its energy relative to the lowest polymorph listed for this composition is 0.000 eV/f.u. The calculation puts the formation energy at 0.308 eV/atom. Its density of states at the Fermi level is 0.68 states/eV/atom. As for the crystal system: cubic.